No. 1
An optimized crystal structure of RbDyFeO3, computed with PBE+U.

Properties
- uncorrected energy (eV/atom) = -6.547
- theoretical density (g/cm³) = 4.8

abc: 3.6129 7.5969 9.8175
angles: 114.17 90.00 90.00
Fractional coordinates of all 12 atoms:
Rb  0.7500  0.7885  0.8255
Rb  0.2500  0.2115  0.1745
Dy  0.2500  0.6750  0.1379
Dy  0.7500  0.3250  0.8621
Fe  0.2500  0.0215  0.6204
Fe  0.7500  0.9785  0.3796
O  0.2500  0.8664  0.3948
O  0.7500  0.8894  0.1594
O  0.7500  0.4730  0.1122
O  0.7500  0.1336  0.6052
O  0.2500  0.5270  0.8878
O  0.2500  0.1106  0.8406

---

No. 2
An optimized crystal structure of Rb4Dy3FeO8, computed with PBE+U.

Properties
- uncorrected energy (eV/atom) = -6.259
- theoretical density (g/cm³) = 6.3

abc: 6.8669 7.6353 6.8675
angles: 116.73 120.00 90.00
Fractional coordinates of all 16 atoms:
Rb  0.5000  0.0000  0.0000
Rb  0.5000  0.0000  0.5000
Rb  0.0000  0.0000  0.0000
Rb  0.0000  0.0000  0.5000
Dy  0.5000  0.5000  0.0000
Dy  0.5000  0.5000  0.5000
Dy  0.0000  0.5000  0.5000
Fe  0.0000  0.5000  0.0000
O  0.2159  0.6722  0.9563
O  0.2162  0.6725  0.4324
O  0.2746  0.3239  0.5493
O  0.7404  0.6722  0.9563
O  0.2596  0.3278  0.0437
O  0.7254  0.6761  0.4507
O  0.7838  0.3275  0.5676
O  0.7841  0.3278  0.0437

---

No. 3
An optimized crystal structure of Rb2Dy2FeO6, computed with PBE+U.

Properties
- uncorrected energy (eV/atom) = -6.462
- theoretical density (g/cm³) = 5.6

abc: 5.7830 5.7830 6.8722
angles: 97.20 97.20 120.14
Fractional coordinates of all 11 atoms:
Rb  0.8366  0.1634  0.0000
Rb  0.1634  0.8366  0.0000
Dy  0.3320  0.6680  0.5000
Dy  0.6680  0.3320  0.5000
Fe  0.0000  0.0000  0.5000
O  0.7629  0.7629  0.6557
O  0.0476  0.3614  0.6655
O  0.2371  0.2371  0.3443
O  0.3614  0.0476  0.6655
O  0.9524  0.6386  0.3345
O  0.6386  0.9524  0.3345

---

No. 4
An optimized crystal structure of Rb3Dy2FeO6, computed with PBE+U.

Properties
- uncorrected energy (eV/atom) = -6.173
- theoretical density (g/cm³) = 6.2

abc: 5.8907 5.8907 6.7997
angles: 98.29 98.29 119.96
Fractional coordinates of all 12 atoms:
Rb  0.1645  0.8355  0.5000
Rb  0.8355  0.1645  0.5000
Rb  0.5000  0.5000  0.5000
Dy  0.3332  0.6668  0.0000
Dy  0.6668  0.3332  0.0000
Fe  0.0000  0.0000  0.0000
O  0.9427  0.6293  0.8282
O  0.7431  0.7431  0.1728
O  0.0573  0.3707  0.1718
O  0.6293  0.9427  0.8282
O  0.2569  0.2569  0.8272
O  0.3707  0.0573  0.1718

---

No. 5
An optimized crystal structure of DyFe2SbO6, computed with PBE+U.

Properties
- uncorrected energy (eV/atom) = -6.960
- theoretical density (g/cm³) = 6.5

abc: 5.4639 5.4479 5.7913
angles: 61.71 62.11 59.76
Fractional coordinates of all 10 atoms:
Dy  0.8069  0.8079  0.5693
Fe  0.5257  0.5328  0.4211
Fe  0.0168  0.0208  0.9433
Sb  0.3200  0.3182  0.0417
O  0.5943  0.2203  0.2379
O  0.2332  0.9375  0.2477
O  0.9486  0.5829  0.2452
O  0.3968  0.7033  0.7739
O  0.6962  0.1386  0.7595
O  0.1231  0.3994  0.7756

---

No. 6
An optimized crystal structure of Sr2DyFeO5, computed with PBE+U.

Properties
- uncorrected energy (eV/atom) = -6.902
- theoretical density (g/cm³) = 5.9

abc: 3.4381 7.3512 10.9014
angles: 90.00 90.00 103.52
Fractional coordinates of all 18 atoms:
Sr  0.8673  0.7346  0.7805
Sr  0.1174  0.2348  0.7088
Sr  0.1327  0.2654  0.2805
Sr  0.8826  0.7652  0.2088
Dy  0.7826  0.5652  0.5035
Dy  0.2174  0.4348  0.0035
Fe  0.5059  0.0118  0.9719
Fe  0.4941  0.9882  0.4719
O  0.3758  0.7516  0.0163
O  0.7032  0.4065  0.8681
O  0.4977  0.9954  0.7989
O  0.2872  0.5744  0.6433
O  0.9471  0.8943  0.5327
O  0.6242  0.2484  0.5163
O  0.2968  0.5935  0.3681
O  0.5023  0.0046  0.2989
O  0.7128  0.4256  0.1433
O  0.0529  0.1057  0.0327

---

No. 7
An optimized crystal structure of SrDyFe4O12, computed with PBE+U.

Properties
- uncorrected energy (eV/atom) = -6.223
- theoretical density (g/cm³) = 5.0

abc: 5.3868 5.3868 7.6173
angles: 90.00 90.00 90.00
Fractional coordinates of all 18 atoms:
Sr  0.0000  0.0000  0.5000
Dy  0.5000  0.5000  0.0000
Fe  0.5000  0.0000  0.2501
Fe  0.5000  0.0000  0.7499
Fe  0.0000  0.5000  0.7499
Fe  0.0000  0.5000  0.2501
O  0.7421  0.2579  0.7650
O  0.7421  0.2579  0.2350
O  0.2579  0.7421  0.7650
O  0.2579  0.7421  0.2350
O  0.7408  0.7408  0.2349
O  0.7408  0.7408  0.7651
O  0.2592  0.2592  0.2349
O  0.2592  0.2592  0.7651
O  0.5000  0.0000  0.0000
O  0.5000  0.0000  0.5000
O  0.0000  0.5000  0.0000
O  0.0000  0.5000  0.5000

---

No. 8
An optimized crystal structure of DyZrFe2O6, computed with PBE+U.

Properties
- uncorrected energy (eV/atom) = -7.917
- theoretical density (g/cm³) = 6.2

abc: 5.4776 5.4594 5.7630
angles: 61.20 60.92 60.16
Fractional coordinates of all 10 atoms:
Dy  0.8077  0.8055  0.5813
Zr  0.3129  0.3073  0.0732
Fe  0.5198  0.5187  0.4430
Fe  0.0225  0.0244  0.9275
O  0.6020  0.2463  0.2500
O  0.2492  0.8986  0.2506
O  0.9039  0.6106  0.2432
O  0.3961  0.7085  0.7471
O  0.7073  0.1483  0.7449
O  0.1401  0.3933  0.7544